Entry 1:
! BeCu3 GGA-PBEsol optimized geometry; values from VASP
&SYSTEM
  ibrav = 0, nat = 4, ntyp = 2
/
ATOMIC_SPECIES
Be 9.01 Be.upf
Cu 63.55 Cu.upf
ATOMIC_POSITIONS angstrom
Be 0.0000 0.0000 0.0000
Cu -1.9905 -1.0520 -0.1282
Cu -0.4655 -0.6787 -2.2473
Cu -0.3494 -2.6946 -0.7775
CELL_PARAMETERS angstrom
-2.2529 0.7232 -1.4940
1.3220 -2.0806 -3.0006
-1.4090 -2.3892 3.5889
! calculated formation energy = -25 meV/atom
! E_tot = -17.1 eV per cell
! SG = C2/m (12)
! ρ = 8.0 Mg/m³

Entry 2:
! LiSc2Rh GGA-PBEsol optimized geometry; values from VASP
&SYSTEM
  ibrav = 0, nat = 4, ntyp = 3
/
ATOMIC_SPECIES
Rh 102.91 Rh.upf
Li 6.94 Li.upf
Sc 44.96 Sc.upf
ATOMIC_POSITIONS angstrom
Rh 1.6207 1.6207 4.8342
Li 0.0000 0.0000 3.6694
Sc 0.0000 0.0000 6.3360
Sc 1.6207 1.6207 2.0312
CELL_PARAMETERS angstrom
3.2413 0.0000 0.0000
0.0000 3.2413 0.0000
0.0000 0.0000 6.7483
! calculated formation energy = -235 meV/atom
! E_tot = -24.3 eV per cell
! SG = P4mm (99)
! ρ = 4.7 Mg/m³

Entry 3:
! ZnHg2Ru GGA-PBEsol optimized geometry; values from VASP
&SYSTEM
  ibrav = 0, nat = 4, ntyp = 3
/
ATOMIC_SPECIES
Hg 200.59 Hg.upf
Ru 101.07 Ru.upf
Zn 65.41 Zn.upf
ATOMIC_POSITIONS angstrom
Hg 4.7583 -1.2313 6.9342
Hg -0.1475 -3.8380 3.3089
Ru 3.1518 -0.8317 4.6077
Zn 1.8283 -0.2818 2.4903
CELL_PARAMETERS angstrom
-1.1252 -1.2268 2.4049
0.8364 -2.6862 0.7996
6.8752 2.4000 6.2198
! calculated formation energy = 310 meV/atom
! E_tot = -11.6 eV per cell
! SG = R3m (160)
! ρ = 13.5 Mg/m³

Entry 4:
! LaOsN2 GGA-PBEsol optimized geometry; values from VASP
&SYSTEM
  ibrav = 0, nat = 4, ntyp = 3
/
ATOMIC_SPECIES
N 14.01 N.upf
La 138.91 La.upf
Os 190.23 Os.upf
ATOMIC_POSITIONS angstrom
N 1.2272 -6.2008 -0.7035
La 0.0000 0.0000 0.0000
N 0.7982 -3.2978 2.2334
Os 1.0127 -4.7493 0.7649
CELL_PARAMETERS angstrom
-1.2221 -2.9370 -1.2722
2.1296 -2.2524 -1.4592
1.1179 -4.3092 4.2612
! E_tot = -33.9 eV per cell
! SG = R-3m (166)
! formation energy (no corrections) = 176 meV per atom
! ρ = 10.0 Mg/m³

Entry 5:
! Tl3AsN GGA-PBEsol optimized geometry; values from VASP
&SYSTEM
  ibrav = 0, nat = 5, ntyp = 3
/
ATOMIC_SPECIES
Tl 204.38 Tl.upf
N 14.01 N.upf
As 74.92 As.upf
ATOMIC_POSITIONS angstrom
Tl 0.0000 0.0000 2.4138
Tl 2.4138 0.0000 0.0000
Tl 0.0000 2.4138 0.0000
N 0.0000 0.0000 0.0000
As 2.4138 2.4138 2.4138
CELL_PARAMETERS angstrom
4.8277 0.0000 0.0000
0.0000 4.8277 0.0000
0.0000 0.0000 4.8277
! E_tot = -18.4 eV per cell
! SG = Pm-3m (221)
! formation energy (no corrections) = 624 meV per atom
! ρ = 10.4 Mg/m³

Entry 6:
! BaTaCd GGA-PBEsol optimized geometry; values from VASP
&SYSTEM
  ibrav = 0, nat = 3, ntyp = 3
/
ATOMIC_SPECIES
Cd 112.41 Cd.upf
Ta 180.95 Ta.upf
Ba 137.33 Ba.upf
ATOMIC_POSITIONS angstrom
Cd -3.3000 1.3851 3.1857
Ta -1.9582 -1.1991 2.7802
Ba -5.2399 0.1783 5.9482
CELL_PARAMETERS angstrom
-1.5959 -2.6359 -0.5071
1.6060 -1.4104 2.2768
-5.2592 4.2284 4.1874
! calculated formation energy = 614 meV/atom
! E_tot = -14.1 eV per cell
! SG = I4mm (107)
! ρ = 9.6 Mg/m³
! polymorph energy (0 for the lowest one) = 0.000 eV/atom

Entry 7:
! Zr2GeHN GGA-PBEsol optimized geometry; values from VASP
&SYSTEM
  ibrav = 0, nat = 5, ntyp = 4
/
ATOMIC_SPECIES
H 1.01 H.upf
N 14.01 N.upf
Ge 72.64 Ge.upf
Zr 91.22 Zr.upf
ATOMIC_POSITIONS angstrom
H -0.3475 0.3424 -1.6492
N 0.0000 0.0000 0.0000
Ge 1.1748 -2.2844 -2.5153
Zr -0.5845 -2.1308 -0.3192
Zr 2.1068 -0.4960 -0.5469
CELL_PARAMETERS angstrom
-0.6950 0.6848 -3.2984
4.2136 -0.9921 -1.0938
-1.1691 -4.2616 -0.6385
! E_tot = -37.5 eV per cell
! SG = P4/mmm (123)
! ρ = 6.5 Mg/m³

Entry 8:
! RbCaH6N3 GGA-PBEsol optimized geometry; values from VASP
&SYSTEM
  ibrav = 0, nat = 22, ntyp = 4
/
ATOMIC_SPECIES
Rb 85.47 Rb.upf
N 14.01 N.upf
H 1.01 H.upf
Ca 40.08 Ca.upf
ATOMIC_POSITIONS angstrom
Rb 0.3835 3.7553 1.6047
N 3.6844 5.0333 0.8901
H 0.1610 -1.6015 3.7896
Ca 0.0000 0.0000 0.0000
H 1.1768 -0.2771 2.7199
N -0.8750 1.6709 4.6584
N 0.3835 -1.7776 4.7811
Ca 3.3008 0.0082 0.0143
N 1.6420 0.0672 1.8649
N 2.4259 3.1885 3.8063
N 4.9429 1.5848 1.0128
H 0.6060 -0.8326 5.1290
H -0.9474 2.0085 3.6843
H 4.4776 2.4968 1.1466
H 5.0153 1.2473 1.9868
H 3.9068 4.8573 1.8816
Rb 3.6844 -0.4995 4.0665
H 2.3534 2.1772 3.6066
H 1.7145 1.0786 2.0646
H 2.8911 3.5328 2.9513
H -0.4097 0.7590 4.5246
H 3.4619 4.0883 0.5422
CELL_PARAMETERS angstrom
6.6017 0.0165 0.0287
-1.2669 6.6471 -0.0649
-1.2669 -3.4078 5.7074
! E_tot = -109.5 eV per cell
! SG = C2/c (15)
! ρ = 2.3 Mg/m³